VASP calculation (PBE) on MgReAg2 after structural relaxation.

Values from the calculation:
symmetry: Pmmm, No. 47
calculated formation energy: 466 meV/atom

a b c (Å): 2.7393 4.3357 5.6832
angles (deg): 90.00 90.00 90.00
Element x y z (fractional)
Mg: 0.0000 0.0000 0.0000
Re: 0.0000 0.0000 0.5000
Ag: 0.5000 0.5000 0.2562
Ag: 0.5000 0.5000 0.7438

***

VASP calculation (PBE) on MgReAg2 after structural relaxation.

Values from the calculation:
symmetry: I-42d, No. 122
calculated formation energy: 965 meV/atom

a b c (Å): 10.1885 10.1885 10.1885
angles (deg): 157.97 157.97 31.36
Element x y z (fractional)
Mg: 0.0000 0.0000 0.0000
Mg: 0.7500 0.2500 0.5000
Re: 0.2500 0.7500 0.5000
Re: 0.5000 0.5000 0.0000
Ag: 0.1269 0.6250 0.0019
Ag: 0.3750 0.3769 0.5019
Ag: 0.6231 0.1250 0.9981
Ag: 0.8750 0.8731 0.4981